First-principles (GGA-PBE) data for a relaxed Li3InGa2 crystal, as listed in the Alexandria database. Values from VASP.

DFT formation energy   -0.2633 eV/atom

Geometry as Quantum ESPRESSO input:
```
&SYSTEM
  ibrav = 0, nat = 6, ntyp = 3
/
ATOMIC_SPECIES
Li 6.94 Li.upf
In 114.82 In.upf
Ga 69.72 Ga.upf
CELL_PARAMETERS angstrom
3.298 0.000 0.000
0.000 3.298 0.000
0.000 0.000 9.248
ATOMIC_POSITIONS angstrom
Li 0.000 0.000 0.000
Li 0.000 0.000 6.376
Li 0.000 0.000 2.872
In 1.649 1.649 4.624
Ga 1.649 1.649 7.843
Ga 1.649 1.649 1.405
```

---

First-principles (GGA-PBE) data for a relaxed Li2InGa crystal, as listed in the Alexandria database. Values from VASP.

DFT formation energy   -0.2462 eV/atom

Geometry as Quantum ESPRESSO input:
```
&SYSTEM
  ibrav = 0, nat = 4, ntyp = 3
/
ATOMIC_SPECIES
Li 6.94 Li.upf
In 114.82 In.upf
Ga 69.72 Ga.upf
CELL_PARAMETERS angstrom
4.264 0.004 0.006
-0.010 5.702 3.729
-0.009 3.116 5.037
ATOMIC_POSITIONS angstrom
Li 2.600 5.429 5.348
Li 2.605 3.819 2.628
In 0.471 3.329 4.638
Ga 0.475 1.769 2.120
```

---

First-principles (GGA-PBE) data for a relaxed Li4InGa3 crystal, as listed in the Alexandria database. Values from VASP.

DFT formation energy   -0.2721 eV/atom

Geometry as Quantum ESPRESSO input:
```
&SYSTEM
  ibrav = 0, nat = 16, ntyp = 3
/
ATOMIC_SPECIES
In 114.82 In.upf
Ga 69.72 Ga.upf
Li 6.94 Li.upf
CELL_PARAMETERS angstrom
5.020 0.000 0.000
0.000 5.853 0.000
0.000 0.000 9.191
ATOMIC_POSITIONS angstrom
In 0.000 2.927 0.000
In 0.000 2.927 4.595
Ga 0.000 0.000 0.000
Ga 0.000 0.000 4.595
Ga 3.434 0.000 6.893
Ga 1.586 0.000 2.298
Ga 3.284 2.927 6.893
Ga 1.735 2.927 2.298
Li 2.510 4.447 0.000
Li 2.510 4.447 4.595
Li 2.510 1.406 0.000
Li 2.510 1.406 4.595
Li 0.915 4.457 6.893
Li 4.104 4.457 2.298
Li 4.104 1.396 2.298
Li 0.915 1.396 6.893
```

---

First-principles (GGA-PBE) data for a relaxed Li7In3Ga crystal, as listed in the Alexandria database. Values from VASP.

DFT formation energy   -0.1922 eV/atom

Geometry as Quantum ESPRESSO input:
```
&SYSTEM
  ibrav = 0, nat = 22, ntyp = 3
/
ATOMIC_SPECIES
Li 6.94 Li.upf
In 114.82 In.upf
Ga 69.72 Ga.upf
CELL_PARAMETERS angstrom
-0.625 0.235 -2.849
-10.441 -4.784 3.397
-4.556 11.316 1.934
ATOMIC_POSITIONS angstrom
Li -11.296 5.067 2.896
Li -4.325 1.700 -0.414
Li -3.272 4.440 -0.419
Li -12.350 2.327 2.900
Li -13.915 6.214 3.565
Li -1.707 0.553 -1.083
Li -10.885 0.064 2.392
Li -4.736 6.703 0.090
Li -7.296 1.970 1.763
Li -8.325 4.797 0.719
Li -9.568 7.884 1.247
Li -6.054 -1.117 1.235
Li -9.881 -2.429 1.966
Li -5.740 9.196 0.516
In -5.398 4.078 1.521
In -10.224 2.689 0.961
In -6.899 6.976 2.089
In -8.723 -0.209 0.393
In -3.274 -1.195 0.619
In -12.347 7.962 1.863
Ga -1.478 2.682 0.546
Ga -14.144 4.085 1.936
```

---

First-principles (GGA-PBE) data for a relaxed Li3In6Ga crystal, as listed in the Alexandria database. Values from VASP.

DFT formation energy   -0.1458 eV/atom

Geometry as Quantum ESPRESSO input:
```
&SYSTEM
  ibrav = 0, nat = 20, ntyp = 3
/
ATOMIC_SPECIES
Li 6.94 Li.upf
In 114.82 In.upf
Ga 69.72 Ga.upf
CELL_PARAMETERS angstrom
-3.378 -3.066 2.482
-0.456 -4.968 -6.758
8.011 -3.100 7.072
ATOMIC_POSITIONS angstrom
Li 1.858 -4.676 -0.530
Li 2.319 -6.459 3.326
Li 5.191 -4.970 3.641
Li -1.014 -6.165 -0.845
Li 6.580 -7.620 2.258
Li -2.403 -3.515 0.538
In -0.490 -3.340 -2.076
In 4.667 -7.794 4.872
In 0.442 -2.122 0.697
In 3.735 -9.012 2.099
In 4.213 -6.108 0.904
In -0.036 -5.027 1.892
In 2.900 -3.587 2.233
In 1.277 -7.548 0.563
In 1.023 -5.875 -3.150
In 3.154 -5.259 5.946
In 6.047 -3.786 6.269
In -1.870 -7.349 -3.473
Ga 3.256 -7.331 -1.909
Ga 0.921 -3.803 4.705
```

---

First-principles (GGA-PBE) data for a relaxed Li3In12Ga crystal, as listed in the Alexandria database. Values from VASP.

DFT formation energy   -0.0905 eV/atom

Geometry as Quantum ESPRESSO input:
```
&SYSTEM
  ibrav = 0, nat = 16, ntyp = 3
/
ATOMIC_SPECIES
Li 6.94 Li.upf
In 114.82 In.upf
Ga 69.72 Ga.upf
CELL_PARAMETERS angstrom
4.610 0.000 0.000
0.000 4.610 0.000
0.000 0.000 18.193
ATOMIC_POSITIONS angstrom
Li 0.000 0.000 4.626
Li 0.000 0.000 9.097
Li 0.000 0.000 13.567
In 2.305 2.305 0.000
In 2.305 2.305 4.613
In 2.305 2.305 9.097
In 2.305 2.305 13.580
In 2.305 0.000 2.374
In 2.305 0.000 6.847
In 2.305 0.000 11.346
In 2.305 0.000 15.819
In 0.000 2.305 2.374
In 0.000 2.305 6.847
In 0.000 2.305 11.346
In 0.000 2.305 15.819
Ga 0.000 0.000 0.000
```

---

First-principles (GGA-PBE) data for a relaxed Li8InGa2 crystal, as listed in the Alexandria database. Values from VASP.

DFT formation energy   -0.2443 eV/atom

Geometry as Quantum ESPRESSO input:
```
&SYSTEM
  ibrav = 0, nat = 11, ntyp = 3
/
ATOMIC_SPECIES
Li 6.94 Li.upf
In 114.82 In.upf
Ga 69.72 Ga.upf
CELL_PARAMETERS angstrom
-1.144 -0.398 -4.385
4.831 -1.635 -1.112
-1.452 -7.177 3.391
ATOMIC_POSITIONS angstrom
Li 1.261 -2.398 -2.471
Li -0.776 -4.757 0.635
Li 0.237 -2.269 0.144
Li 3.296 -1.918 -0.685
Li 1.998 -6.941 -2.250
Li 3.011 -4.454 -2.740
Li 0.974 -6.812 0.365
Li -1.061 -7.293 -1.420
In -0.572 -0.199 -2.192
Ga 2.090 -4.316 -0.153
Ga 0.145 -4.895 -1.953
```

---

First-principles (GGA-PBE) data for a relaxed Li5In4Ga crystal, as listed in the Alexandria database. Values from VASP.

DFT formation energy   -0.2667 eV/atom

Geometry as Quantum ESPRESSO input:
```
&SYSTEM
  ibrav = 0, nat = 10, ntyp = 3
/
ATOMIC_SPECIES
Li 6.94 Li.upf
In 114.82 In.upf
Ga 69.72 Ga.upf
CELL_PARAMETERS angstrom
3.373 0.000 0.000
0.000 3.373 0.000
0.000 0.000 16.640
ATOMIC_POSITIONS angstrom
Li 1.687 1.687 1.407
Li 1.687 1.687 4.834
Li 1.687 1.687 8.320
Li 1.687 1.687 11.807
Li 1.687 1.687 15.234
In 0.000 0.000 3.098
In 0.000 0.000 6.586
In 0.000 0.000 10.054
In 0.000 0.000 13.543
Ga 0.000 0.000 0.000
```

---

First-principles (GGA-PBE) data for a relaxed LiInGa4 crystal, as listed in the Alexandria database. Values from VASP.

DFT formation energy   -0.0047 eV/atom

Geometry as Quantum ESPRESSO input:
```
&SYSTEM
  ibrav = 0, nat = 12, ntyp = 3
/
ATOMIC_SPECIES
Li 6.94 Li.upf
In 114.82 In.upf
Ga 69.72 Ga.upf
CELL_PARAMETERS angstrom
8.531 0.176 0.000
-0.120 5.450 0.000
0.000 0.000 5.455
ATOMIC_POSITIONS angstrom
Li 4.235 1.451 1.367
Li 4.175 4.176 4.087
In -0.030 1.363 4.094
In -0.090 4.088 1.360
Ga 2.221 2.772 0.001
Ga 2.215 2.772 2.726
Ga 6.250 0.129 0.001
Ga 6.195 2.854 2.728
Ga 6.255 0.129 2.726
Ga 2.161 5.497 5.454
Ga 2.155 5.497 2.728
Ga 6.190 2.854 5.454
```

---

First-principles (GGA-PBE) data for a relaxed Li5InGa3 crystal, as listed in the Alexandria database. Values from VASP.

DFT formation energy   -0.0901 eV/atom

Geometry as Quantum ESPRESSO input:
```
&SYSTEM
  ibrav = 0, nat = 18, ntyp = 3
/
ATOMIC_SPECIES
Li 6.94 Li.upf
In 114.82 In.upf
Ga 69.72 Ga.upf
CELL_PARAMETERS angstrom
6.712 -1.169 1.478
0.713 6.776 1.478
3.840 2.900 10.047
ATOMIC_POSITIONS angstrom
Li 7.426 2.351 5.079
Li 2.287 4.692 1.478
Li 5.285 3.991 2.829
Li 4.041 3.051 5.158
Li 7.224 5.455 7.845
Li 5.980 4.515 10.175
Li 4.294 6.499 5.079
Li 5.139 0.915 1.478
Li 3.839 6.156 7.924
Li 6.971 2.008 7.924
In 2.914 2.201 7.579
In 8.351 6.306 5.425
Ga 8.114 6.127 10.328
Ga 6.164 4.655 5.359
Ga 0.000 0.000 0.000
Ga 1.920 1.450 5.023
Ga 3.151 2.380 2.675
Ga 5.101 3.852 7.644
```

---

First-principles (GGA-PBE) data for a relaxed Li7InGa4 crystal, as listed in the Alexandria database. Values from VASP.

DFT formation energy   -0.1592 eV/atom

Geometry as Quantum ESPRESSO input:
```
&SYSTEM
  ibrav = 0, nat = 12, ntyp = 3
/
ATOMIC_SPECIES
Li 6.94 Li.upf
In 114.82 In.upf
Ga 69.72 Ga.upf
CELL_PARAMETERS angstrom
4.901 0.000 0.000
2.451 6.988 0.911
2.451 1.044 6.411
ATOMIC_POSITIONS angstrom
Li 7.352 6.698 4.250
Li 2.451 1.335 3.072
Li 2.451 4.271 2.237
Li 7.352 3.761 5.085
Li 4.901 5.766 5.566
Li 2.451 0.000 0.000
Li 4.901 2.266 1.756
In 0.000 0.000 0.000
Ga 4.901 2.761 4.256
Ga 4.901 5.271 3.066
Ga 7.352 5.565 6.935
Ga 2.451 2.467 0.386
```

---

First-principles (GGA-PBE) data for a relaxed LiInGa5 crystal, as listed in the Alexandria database. Values from VASP.

DFT formation energy   -0.0211 eV/atom

Geometry as Quantum ESPRESSO input:
```
&SYSTEM
  ibrav = 0, nat = 7, ntyp = 3
/
ATOMIC_SPECIES
Li 6.94 Li.upf
In 114.82 In.upf
Ga 69.72 Ga.upf
CELL_PARAMETERS angstrom
-3.790 -2.830 -0.746
2.527 -3.779 1.504
-1.935 1.044 5.872
ATOMIC_POSITIONS angstrom
Li 0.000 0.000 0.000
In -0.968 0.522 2.936
Ga -0.631 -3.305 0.379
Ga 0.793 -1.636 2.179
Ga -2.365 -1.162 1.053
Ga -0.202 -1.099 5.198
Ga -3.360 -0.625 4.073
```

---

Number 1: total magnetization 0.00 μB/f.u.. Number 2: total magnetization 0.00 μB/f.u.. Number 3: total magnetization 0.00 μB/f.u.. Number 4: total magnetization 0.00 μB/f.u.. Number 5: total magnetization 0.00 μB/f.u.. Number 6: total magnetization 0.00 μB/f.u.. Number 7: total magnetization 0.00 μB/f.u.. Number 8: total magnetization 0.00 μB/f.u.. Number 9: total magnetization 0.00 μB/f.u.. Number 10: total magnetization 0.00 μB/f.u.. Number 11: total magnetization 0.00 μB/f.u.. Number 12: total magnetization 0.00 μB/f.u..